1.
Compound: Li2Cu3Pt
Source: the Alexandria database
Functional: PBE-GGA
Structure: relaxed

Output
symmetry = C2/c (15)
electronic total energy = -3.92 eV per atom
magnetic moment = 0.000 Bohr magnetons per cell
crystal system = monoclinic
formation energy = -230.2 meV per atom

abc: 4.585 4.585 8.169
angles: 100.48 100.48 110.03
Positions (direct):
1 Li 0.043 0.294 0.086
2 Li 0.294 0.043 0.586
3 Li 0.706 0.957 0.414
4 Li 0.957 0.706 0.914
5 Cu 0.210 0.459 0.419
6 Cu 0.375 0.625 0.750
7 Cu 0.459 0.210 0.919
8 Cu 0.541 0.790 0.081
9 Cu 0.625 0.375 0.250
10 Cu 0.790 0.541 0.581
11 Pt 0.125 0.875 0.250
12 Pt 0.875 0.125 0.750

2.
Compound: Si2PS8
Source: the Alexandria database
Functional: PBE-GGA
Structure: relaxed

Output
symmetry = C2/m (12)
electronic total energy = -4.53 eV per atom
energy relative to the elements, uncorrected = -57 kJ/mol of formula units
magnetic moment = 0.980 Bohr magnetons per cell
crystal system = monoclinic

abc: 7.419 7.419 5.417
angles: 99.58 99.58 72.07
Positions (direct):
1 Si 0.179 0.179 0.091
2 Si 0.821 0.821 0.909
3 P 0.000 0.000 0.500
4 S 0.130 0.744 0.835
5 S 0.183 0.183 0.703
6 S 0.256 0.870 0.165
7 S 0.339 0.339 0.290
8 S 0.661 0.661 0.710
9 S 0.744 0.130 0.835
10 S 0.817 0.817 0.297
11 S 0.870 0.256 0.165

3.
Compound: CePrDyCd
Source: the Alexandria database
Functional: PBE-GGA
Structure: relaxed

Output
symmetry = F-43m (216)
electronic total energy = -4.00 eV per atom
magnetic moment = 1.494 Bohr magnetons per cell
crystal system = cubic
formation energy = 59.1 meV per atom

abc: 5.464 5.464 5.464
angles: 60.00 60.00 60.00
Positions (direct):
1 Ce 0.000 0.000 0.000
2 Pr 0.750 0.750 0.750
3 Dy 0.250 0.250 0.250
4 Cd 0.500 0.500 0.500

4.
Compound: SrPr2CrN4
Source: the Alexandria database
Functional: PBE-GGA
Structure: relaxed

Output
symmetry = Cmcm (63)
electronic total energy = -7.73 eV per atom
energy relative to the elements, uncorrected = -740 kJ/mol of formula units
magnetic moment = 3.545 Bohr magnetons per cell
crystal system = orthorhombic

abc: 6.418 6.418 12.244
angles: 90.00 90.00 147.84
Positions (direct):
1 Sr 0.092 0.908 0.750
2 Sr 0.908 0.092 0.250
3 Pr 0.369 0.631 0.542
4 Pr 0.369 0.631 0.958
5 Pr 0.631 0.369 0.042
6 Pr 0.631 0.369 0.458
7 Cr 0.181 0.819 0.250
8 Cr 0.819 0.181 0.750
9 N 0.000 0.000 0.000
10 N 0.000 0.000 0.500
11 N 0.263 0.737 0.131
12 N 0.263 0.737 0.369
13 N 0.395 0.605 0.750
14 N 0.605 0.395 0.250
15 N 0.737 0.263 0.631
16 N 0.737 0.263 0.869

What did the second record say?
Compound: Si2PS8
Source: the Alexandria database
Functional: PBE-GGA
Structure: relaxed

Output
symmetry = C2/m (12)
electronic total energy = -4.53 eV per atom
energy relative to the elements, uncorrected = -57 kJ/mol of formula units
magnetic moment = 0.980 Bohr magnetons per cell
crystal system = monoclinic

abc: 7.419 7.419 5.417
angles: 99.58 99.58 72.07
Positions (direct):
1 Si 0.179 0.179 0.091
2 Si 0.821 0.821 0.909
3 P 0.000 0.000 0.500
4 S 0.130 0.744 0.835
5 S 0.183 0.183 0.703
6 S 0.256 0.870 0.165
7 S 0.339 0.339 0.290
8 S 0.661 0.661 0.710
9 S 0.744 0.130 0.835
10 S 0.817 0.817 0.297
11 S 0.870 0.256 0.165